H6PtPb2Au: relaxed, PBE-GGA.

As for the volume: 144.7 Å³ per cell. Its total energy is -3.565 eV/atom.

The structure belongs to space group P1 (No. 1); the cell edges are 4.8913, 5.2616 and 5.9796 Å and the angles 104.92°, 102.33° and 91.57°. The distinct sites, in fractional coordinates, are H at (0.0000, 0.0000, 0.0000), H at (0.0114, 0.5580, 0.0494), H at (0.3213, 0.8816, 0.2644), H at (0.4638, 0.0192, 0.9922), H at (0.4849, 0.5467, 0.0037), H at (0.7821, 0.3772, 0.3163), Pt at (0.2297, 0.7615, 0.9744), Pb at (0.0741, 0.2537, 0.6061), Pb at (0.5991, 0.7571, 0.6133) and Au at (0.7459, 0.2844, 0.0102).